Entry 1:
Here is GaNi2Hg after structural relaxation from the Alexandria database. Energies are from PBE-GGA.

Output
Symmetry: No. 225
Energy relative to the elements: 0.00 eV/atom

a = 4.3155 Å, b = 4.3155 Å, c = 4.3155 Å
α = 60.00°, β = 60.00°, γ = 60.00°
Closest atoms and distances in Å follow each position.
Sites, in units of the cell vectors:
Ni (0.7500, 0.7500, 0.7500)  4 Hg 2.64, 4 Ga 2.64
Ni (0.2500, 0.2500, 0.2500)  4 Hg 2.64, 4 Ga 2.64
Ga (0.0000, 0.0000, 0.0000)  8 Ni 2.64
Hg (0.5000, 0.5000, 0.5000)  8 Ni 2.64

---

Entry 2:
Here is SrTlRh2 after structural relaxation from the Alexandria database. Energies are from PBE-GGA.

Output
Symmetry: No. 216
Energy relative to the elements: 0.22 eV/atom

a = 4.9124 Å, b = 4.9124 Å, c = 4.9124 Å
α = 60.00°, β = 60.00°, γ = 60.00°
Closest atoms and distances in Å follow each position.
Sites, in units of the cell vectors:
Rh (0.0000, 0.0000, 0.0000)  4 Tl 3.01, 4 Rh 3.01
Rh (0.2500, 0.2500, 0.2500)  4 Sr 3.01, 4 Rh 3.01
Sr (0.5000, 0.5000, 0.5000)  4 Tl 3.01, 4 Rh 3.01
Tl (0.7500, 0.7500, 0.7500)  4 Rh 3.01, 4 Sr 3.01

---

no.,E (eV/atom)
1,-3.725
2,-4.468